(1)
# CsYCoCl6

An optimized crystal structure of CsYCoCl6 (PBE, Alexandria).

Cell and atoms, written as extended XYZ:
```
9
Lattice="-5.875 -3.237 -0.330 -1.887 -4.067 5.000 -3.496 6.014 3.596" Properties=species:S:1:pos:R:3 pbc="T T T"
Cl -7.577 -2.855 2.735
Cl -6.516 -1.103 7.239
Cl -6.670 -4.145 5.815
Cl -9.346 -1.622 5.315
Cl -6.840 0.519 4.240
Cl -4.578 -1.959 4.124
Co -6.927 -1.866 4.915
Y -4.337 0.570 3.357
Cs -3.496 6.014 3.597
```

Summary:
Volume = 33.96 Å³/atom
SG = C2 (5)
VASP energy = -0.165 hartree per atom
Spin magnetization = 3.0 μB/f.u.
Formation energy (no corrections) = -1655.6 meV/atom



(2)
# CsYCo2Cl8

An optimized crystal structure of CsYCo2Cl8 (PBE, Alexandria).

Cell and atoms, written as extended XYZ:
```
12
Lattice="-4.013 -4.599 2.210 3.195 -4.521 3.389 -1.544 4.281 9.160" Properties=species:S:1:pos:R:3 pbc="T T T"
Cs -0.772 2.141 4.580
Co -1.546 -0.100 9.455
Co -0.817 -4.739 5.304
Cl -2.497 -3.629 4.191
Cl -1.724 1.958 10.413
Cl -1.171 -4.568 7.457
Cl -1.191 -0.271 7.302
Cl -3.469 -1.249 9.978
Cl 1.107 -3.590 4.781
Cl -0.638 -6.797 4.345
Cl 0.135 -1.210 10.567
Y 0.000 0.000 0.000
```

Summary:
Volume = 33.15 Å³/atom
SG = C2/m (12)
VASP energy = -0.161 hartree per atom
Spin magnetization = 6.0 μB/f.u.
Formation energy (no corrections) = -1364.2 meV/atom



(3)
# CsZnCo2Cl8

An optimized crystal structure of CsZnCo2Cl8 (PBE, Alexandria).

Cell and atoms, written as extended XYZ:
```
12
Lattice="-0.121 -5.123 -3.768 4.681 -0.974 -4.195 6.467 -7.068 4.034" Properties=species:S:1:pos:R:3 pbc="T T T"
Cl 5.606 -9.811 0.471
Cl 7.227 -6.587 1.700
Cl 8.888 -8.623 -1.062
Cl 3.800 -6.578 -5.629
Cl 3.701 -4.253 0.295
Cl 2.139 -4.542 -2.868
Cl 7.325 -8.912 -4.224
Cl 5.420 -3.354 -4.401
Co 8.439 -10.046 -2.718
Co 2.587 -3.119 -1.211
Cs 5.513 -6.582 -1.965
Zn 0.000 0.000 0.000
```

Summary:
Volume = 28.39 Å³/atom
SG = R-3 (148)
VASP energy = -0.129 hartree per atom
Spin magnetization = 7.0 μB/f.u.
Formation energy (no corrections) = -921.7 meV/atom



(4)
# CsZn2CoCl8

An optimized crystal structure of CsZn2CoCl8 (PBE, Alexandria).

Cell and atoms, written as extended XYZ:
```
12
Lattice="6.735 0.000 0.000 3.368 5.100 0.071 3.368 2.189 9.846" Properties=species:S:1:pos:R:3 pbc="T T T"
Cl 8.520 5.029 1.701
Cl 4.951 2.261 8.216
Cl 8.520 2.261 8.216
Cl 3.368 2.111 3.853
Cl 6.735 5.035 9.727
Cl 4.951 5.029 1.701
Cl 10.103 5.179 6.064
Cl 6.735 2.255 0.190
Zn 10.103 5.791 8.195
Zn 3.368 1.499 1.722
Cs 6.735 3.645 4.959
Co 0.000 0.000 0.000
```

Summary:
Volume = 28.10 Å³/atom
SG = C2/m (12)
VASP energy = -0.116 hartree per atom
Spin magnetization = 0.0 μB/f.u.
Formation energy (no corrections) = -1056.2 meV/atom



(5)
# Cs2ZrCoCl6

An optimized crystal structure of Cs2ZrCoCl6 (PBE, Alexandria).

Cell and atoms, written as extended XYZ:
```
10
Lattice="6.938 0.000 0.000 0.000 6.938 0.000 3.469 3.469 6.123" Properties=species:S:1:pos:R:3 pbc="T T T"
Cs 3.469 6.938 3.061
Cs 6.938 3.469 3.061
Cl 1.801 1.801 0.000
Cl 1.801 5.137 0.000
Cl 5.137 1.801 0.000
Cl 6.938 6.938 2.578
Cl 5.137 5.137 0.000
Cl 3.469 3.469 3.545
Zr 0.000 0.000 0.000
Co 3.469 3.469 0.000
```

Summary:
Volume = 29.48 Å³/atom
SG = I4/mmm (139)
VASP energy = -0.157 hartree per atom
Spin magnetization = 1.0 μB/f.u.
Formation energy (no corrections) = -1431.0 meV/atom



(6)
# CoCu2Cl

An optimized crystal structure of CoCu2Cl (PBE, Alexandria).

Cell and atoms, written as extended XYZ:
```
4
Lattice="4.231 -0.002 -0.107 3.253 2.706 -0.107 0.765 0.277 6.024" Properties=species:S:1:pos:R:3 pbc="T T T"
Cu 5.731 2.071 4.930
Cu 7.075 2.556 -0.120
Co 1.703 0.615 1.016
Cl 5.349 1.932 2.676
```

Summary:
Volume = 17.31 Å³/atom
SG = Cm (8)
VASP energy = -0.149 hartree per atom
Spin magnetization = 1.8 μB/f.u.
Energy relative to the lowest polymorph listed for this composition = 44.3 meV per atom
Formation energy (no corrections) = 227.8 meV/atom



(7)
# CoCu2Cl

An optimized crystal structure of CoCu2Cl (PBE, Alexandria).

Cell and atoms, written as extended XYZ:
```
4
Lattice="-0.525 -0.377 2.935 -2.753 -1.032 -0.625 2.268 -5.840 -0.344" Properties=species:S:1:pos:R:3 pbc="T T T"
Cu 2.253 -5.804 -0.342
Cu -1.202 -1.829 1.089
Co 0.110 -5.210 0.890
Cl 1.230 -3.167 -0.187
```

Summary:
Volume = 14.17 Å³/atom
SG = P4mm (99)
VASP energy = -0.147 hartree per atom
Spin magnetization = 1.9 μB/f.u.
Energy relative to the lowest polymorph listed for this composition = 112.8 meV per atom
Formation energy (no corrections) = 296.3 meV/atom



(8)
# CoCu2Cl

An optimized crystal structure of CoCu2Cl (PBE, Alexandria).

Cell and atoms, written as extended XYZ:
```
4
Lattice="-2.447 -2.621 -2.303 1.727 -3.390 -1.919 -0.854 -3.923 1.429" Properties=species:S:1:pos:R:3 pbc="T T T"
Cu -0.394 -2.484 -0.698
Cu 0.000 0.000 0.000
Cl -0.787 -4.967 -1.397
Co -1.181 -7.451 -2.095
```

Summary:
Volume = 13.68 Å³/atom
SG = F-43m (216)
VASP energy = -0.134 hartree per atom
Spin magnetization = 1.6 μB/f.u.
Energy relative to the lowest polymorph listed for this composition = 448.1 meV per atom
Formation energy (no corrections) = 631.6 meV/atom



(9)
# CoCu2Cl

An optimized crystal structure of CoCu2Cl (PBE, Alexandria).

Cell and atoms, written as extended XYZ:
```
4
Lattice="2.961 0.000 0.000 0.000 3.184 -0.105 0.000 0.208 6.345" Properties=species:S:1:pos:R:3 pbc="T T T"
Co 1.481 1.759 5.018
Cl 0.000 1.697 3.219
Cu 0.000 0.207 6.300
Cu 1.481 1.633 1.168
```

Summary:
Volume = 14.97 Å³/atom
SG = Pmm2 (25)
VASP energy = -0.151 hartree per atom
Spin magnetization = 1.8 μB/f.u.
Energy relative to the lowest polymorph listed for this composition = 0.0 meV per atom
Formation energy (no corrections) = 183.5 meV/atom



(10)
# CoCu2Cl

An optimized crystal structure of CoCu2Cl (PBE, Alexandria).

Cell and atoms, written as extended XYZ:
```
4
Lattice="3.558 0.000 0.000 0.000 3.558 0.000 0.000 0.000 4.441" Properties=species:S:1:pos:R:3 pbc="T T T"
Cl 1.779 0.000 2.221
Cu 1.779 1.779 0.000
Cu 0.000 0.000 0.000
Co 0.000 1.779 2.221
```

Summary:
Volume = 14.06 Å³/atom
SG = P4/mmm (123)
VASP energy = -0.138 hartree per atom
Spin magnetization = 2.0 μB/f.u.
Energy relative to the lowest polymorph listed for this composition = 341.7 meV per atom
Formation energy (no corrections) = 525.2 meV/atom



(11)
# CoCu2Cl

An optimized crystal structure of CoCu2Cl (PBE, Alexandria).

Cell and atoms, written as extended XYZ:
```
4
Lattice="-0.803 2.584 -1.404 -2.788 -0.204 1.218 1.874 3.206 4.828" Properties=species:S:1:pos:R:3 pbc="T T T"
Cl -1.327 1.991 1.114
Co -0.390 3.594 3.528
Cu 1.805 3.087 4.650
Cu 1.006 1.721 2.593
```

Summary:
Volume = 14.16 Å³/atom
SG = P4/mmm (123)
VASP energy = -0.146 hartree per atom
Spin magnetization = 1.8 μB/f.u.
Energy relative to the lowest polymorph listed for this composition = 139.7 meV per atom
Formation energy (no corrections) = 323.2 meV/atom



(12)
# CoCu2Cl

An optimized crystal structure of CoCu2Cl (PBE, Alexandria).

Cell and atoms, written as extended XYZ:
```
4
Lattice="5.750 0.278 0.455 4.951 2.937 0.455 0.554 0.166 3.749" Properties=species:S:1:pos:R:3 pbc="T T T"
Cu 6.065 1.822 2.241
Cu 10.263 3.084 0.999
Cl 8.441 2.536 3.494
Co 2.814 0.845 1.165
```

Summary:
Volume = 14.35 Å³/atom
SG = C2/m (12)
VASP energy = -0.140 hartree per atom
Spin magnetization = 1.5 μB/f.u.
Energy relative to the lowest polymorph listed for this composition = 279.6 meV per atom
Formation energy (no corrections) = 463.1 meV/atom



(13)
# Co3CuCl

An optimized crystal structure of Co3CuCl (PBE, Alexandria).

Cell and atoms, written as extended XYZ:
```
5
Lattice="4.456 0.000 0.000 0.000 4.456 0.000 0.000 0.000 4.456" Properties=species:S:1:pos:R:3 pbc="T T T"
Co 2.228 0.000 0.000
Co 0.000 2.228 0.000
Co 0.000 0.000 2.228
Cl 2.228 2.228 2.228
Cu 0.000 0.000 0.000
```

Summary:
Volume = 17.69 Å³/atom
SG = Pm-3m (221)
VASP energy = -0.153 hartree per atom
Spin magnetization = 5.8 μB/f.u.
Energy relative to the lowest polymorph listed for this composition = 460.7 meV per atom
Formation energy (no corrections) = 1300.4 meV/atom



(14)
# CoCu2Cl6

An optimized crystal structure of CoCu2Cl6 (PBE, Alexandria).

Cell and atoms, written as extended XYZ:
```
18
Lattice="6.253 0.068 1.883 2.541 8.906 0.827 0.104 -0.755 9.267" Properties=species:S:1:pos:R:3 pbc="T T T"
Cl 5.419 8.656 3.664
Cl 3.479 -0.438 8.313
Cl 3.878 6.392 6.853
Cl 7.425 6.897 6.096
Cl 5.551 5.127 3.528
Cl 2.275 3.307 2.858
Cl 5.020 1.826 5.124
Cl 6.622 4.911 9.118
Cl 2.236 6.997 0.846
Cl 6.661 1.221 11.130
Cl 3.347 3.092 8.449
Cl 1.473 1.321 5.881
Cu 5.901 6.564 7.791
Cu 2.431 5.165 8.042
Cu 2.996 1.654 4.186
Cu 6.467 3.053 3.935
Co 2.179 1.290 7.965
Co 6.719 6.928 4.012
```

Summary:
Volume = 28.50 Å³/atom
SG = C2/c (15)
VASP energy = -0.127 hartree per atom
Spin magnetization = 5.1 μB/f.u.
Energy relative to the lowest polymorph listed for this composition = 0.0 meV per atom
Formation energy (no corrections) = -521.8 meV/atom



(15)
# CoCu2Cl4

An optimized crystal structure of CoCu2Cl4 (PBE, Alexandria).

Cell and atoms, written as extended XYZ:
```
7
Lattice="-3.669 4.201 -0.760 -3.447 -2.323 3.797 6.019 1.932 2.472" Properties=species:S:1:pos:R:3 pbc="T T T"
Cl 1.955 0.518 4.262
Cl 1.840 3.910 1.892
Cl -4.845 2.084 3.221
Cl -1.145 1.108 1.642
Cu -1.723 -1.162 1.899
Cu -1.835 2.101 -0.380
Co 0.000 0.000 0.000
```

Summary:
Volume = 24.89 Å³/atom
SG = I-42m (121)
VASP energy = -0.136 hartree per atom
Spin magnetization = 3.0 μB/f.u.
Energy relative to the lowest polymorph listed for this composition = 42.8 meV per atom
Formation energy (no corrections) = -450.4 meV/atom



(16)
# CoCu2Cl

An optimized crystal structure of CoCu2Cl (PBE, Alexandria).

Cell and atoms, written as extended XYZ:
```
4
Lattice="4.025 0.000 -0.001 -2.008 5.239 -0.020 0.009 0.780 2.729" Properties=species:S:1:pos:R:3 pbc="T T T"
Cl -1.000 3.009 1.354
Cu 0.000 0.000 0.000
Cu 2.017 0.390 1.364
Co 1.008 2.619 -0.011
```

Summary:
Volume = 14.40 Å³/atom
SG = C2/m (12)
VASP energy = -0.139 hartree per atom
Spin magnetization = 1.9 μB/f.u.
Energy relative to the lowest polymorph listed for this composition = 326.8 meV per atom
Formation energy (no corrections) = 510.3 meV/atom



(17)
# CoCu2Cl6

An optimized crystal structure of CoCu2Cl6 (PBE, Alexandria).

Cell and atoms, written as extended XYZ:
```
18
Lattice="-1.411 -1.966 5.451 -4.529 -6.903 -2.903 6.009 -6.362 0.021" Properties=species:S:1:pos:R:3 pbc="T T T"
Cl 1.934 -12.203 -1.936
Cl 0.577 -6.142 2.655
Cl -3.267 -6.655 1.453
Cl 3.336 -8.576 1.115
Cl -0.200 -13.259 0.393
Cl 0.636 -9.977 3.152
Cl 3.377 -5.367 0.375
Cl -1.865 -3.028 4.504
Cl -0.508 -9.089 -0.087
Cl -0.567 -5.254 -0.584
Cl 0.269 -1.972 2.175
Cl -3.308 -9.864 2.193
Cu -1.163 -9.549 1.986
Cu -1.515 -6.769 2.741
Cu 1.232 -5.682 0.582
Cu 1.584 -8.462 -0.173
Co 4.852 -6.895 1.160
Co -4.783 -8.336 1.408
```

Summary:
Volume = 24.64 Å³/atom
SG = C2/c (15)
VASP energy = -0.126 hartree per atom
Spin magnetization = 1.0 μB/f.u.
Energy relative to the lowest polymorph listed for this composition = 22.5 meV per atom
Formation energy (no corrections) = -499.3 meV/atom



(18)
# CoCu2Cl

An optimized crystal structure of CoCu2Cl (PBE, Alexandria).

Cell and atoms, written as extended XYZ:
```
4
Lattice="-5.450 5.420 0.015 -5.445 4.624 2.839 -3.495 6.587 1.865" Properties=species:S:1:pos:R:3 pbc="T T T"
Cu -7.181 8.299 2.355
Cu -0.014 0.016 0.005
Cl -3.597 4.158 1.180
Co -10.792 12.473 3.539
```

Summary:
Volume = 13.97 Å³/atom
SG = R-3m (166)
VASP energy = -0.145 hartree per atom
Spin magnetization = 1.7 μB/f.u.
Energy relative to the lowest polymorph listed for this composition = 146.1 meV per atom
Formation energy (no corrections) = 329.6 meV/atom



(19)
# CoCu2Cl

An optimized crystal structure of CoCu2Cl (PBE, Alexandria).

Cell and atoms, written as extended XYZ:
```
4
Lattice="-1.781 -3.902 -1.834 1.499 -3.721 2.382 -1.967 4.007 1.357" Properties=species:S:1:pos:R:3 pbc="T T T"
Cu 0.000 0.000 0.000
Cu -0.304 -1.763 2.006
Cl -0.141 -3.812 0.274
Co -1.944 -1.854 -0.102
```

Summary:
Volume = 13.65 Å³/atom
SG = I-4m2 (119)
VASP energy = -0.135 hartree per atom
Spin magnetization = 1.7 μB/f.u.
Energy relative to the lowest polymorph listed for this composition = 428.4 meV per atom
Formation energy (no corrections) = 611.9 meV/atom



(20)
# CoCuCl3

An optimized crystal structure of CoCuCl3 (PBE, Alexandria).

Cell and atoms, written as extended XYZ:
```
5
Lattice="-1.350 -1.941 -4.007 4.132 -2.105 -0.373 -1.658 -3.667 2.334" Properties=species:S:1:pos:R:3 pbc="T T T"
Cu 0.562 -3.856 -1.023
Cl -0.675 -0.970 -2.004
Cl 2.066 -1.053 -0.186
Cl -0.829 -1.834 1.167
Co 0.000 0.000 0.000
```

Summary:
Volume = 20.14 Å³/atom
SG = Pm-3m (221)
VASP energy = -0.122 hartree per atom
Spin magnetization = 1.9 μB/f.u.
Energy relative to the lowest polymorph listed for this composition = 516.5 meV per atom
Formation energy (no corrections) = 22.5 meV/atom



(21)
# Co5Cu3Cl12

An optimized crystal structure of Co5Cu3Cl12 (PBE, Alexandria).

Cell and atoms, written as extended XYZ:
```
80
Lattice="13.118 0.000 0.000 -4.373 12.368 0.000 -4.373 -6.184 10.711" Properties=species:S:1:pos:R:3 pbc="T T T"
Cl 9.467 -2.208 6.959
Cl -1.381 0.824 9.004
Cl 7.281 3.976 3.752
Cl 7.508 1.101 5.319
Cl 9.551 7.008 1.707
Cl 2.908 -2.145 6.923
Cl -5.695 3.937 7.098
Cl -3.424 7.148 8.968
Cl -3.651 4.353 10.675
Cl -1.237 0.964 1.743
Cl 2.992 7.250 1.567
Cl -2.908 2.208 6.959
Cl 10.067 2.247 3.613
Cl -1.322 7.344 5.216
Cl 5.178 1.066 9.144
Cl -5.094 8.392 3.752
Cl 5.610 5.220 8.968
Cl 5.237 10.121 3.613
Cl 0.949 4.119 7.062
Cl 7.281 10.538 0.036
Cl 5.322 7.285 5.392
Cl -3.051 11.281 1.603
Cl 0.865 1.160 5.495
Cl 3.651 2.145 6.923
Cl 2.992 4.294 0.139
Cl 5.237 1.087 1.603
Cl -0.865 -3.937 7.098
Cl 1.237 8.249 7.062
Cl -0.806 5.118 1.567
Cl 5.178 -1.890 10.572
Cl -0.806 8.074 0.139
Cl -2.908 -4.353 10.675
Cl 1.381 -1.066 9.144
Cl 3.424 2.065 3.649
Cl -0.865 5.097 9.108
Cl -5.178 -0.824 9.004
Cl 3.135 -2.065 3.649
Cl 0.721 4.039 3.788
Cl 1.465 8.329 3.788
Cl 5.753 5.360 1.707
Cl -0.949 -1.101 5.319
Cl 1.381 1.890 10.572
Cl 7.797 -0.964 1.743
Cl 8.024 1.831 0.036
Cl 7.424 -5.097 9.108
Cl -3.135 5.083 5.392
Cl 5.695 -1.160 5.495
Cl 3.508 5.024 5.216
Cu -3.280 -2.319 9.372
Cu 9.839 0.000 2.678
Cu -1.093 5.411 6.694
Cu 1.093 6.184 2.678
Cu 5.466 0.773 4.017
Cu 1.093 -0.773 4.017
Cu 3.280 0.000 8.033
Cu 7.652 8.503 1.339
Cu 3.280 6.957 6.694
Cu -5.466 6.184 8.033
Cu 7.652 3.865 1.339
Cu -3.280 2.319 9.372
Co -2.186 -3.092 5.356
Co 4.373 -3.092 5.356
Co 5.466 -3.865 9.372
Co 7.652 -0.773 6.694
Co 3.280 9.276 2.678
Co -4.373 3.092 5.356
Co 2.186 3.092 5.356
Co -1.093 10.049 1.339
Co -1.093 0.773 6.694
Co -2.186 6.184 0.000
Co 1.093 -3.092 8.033
Co 4.373 6.184 0.000
Co 5.466 3.092 8.033
Co 6.559 0.000 0.000
Co -3.280 6.957 4.017
Co 0.000 0.000 0.000
Co 5.466 5.411 4.017
Co 1.093 3.865 9.372
Co -1.093 3.092 2.678
Co 3.280 2.319 1.339
```

Summary:
Volume = 21.72 Å³/atom
SG = Ia-3d (230)
VASP energy = -0.140 hartree per atom
Spin magnetization = 12.1 μB/f.u.
Formation energy (no corrections) = -314.7 meV/atom